Record 1
Density functional theory data (PBE) for a relaxed structure of Tl7SnPb4.

Cell lengths 6.7743, 6.7743, 12.4287 Å; angles 115.38, 115.38, 52.03 degrees
Last column: nearest neighbours and their distance in Å.
Fractional coordinates of all 12 atoms:
Tl1 0.0000 0.0000 0.0000  2 Sn 2.97, 2 Tl 3.19
Tl2 0.2110 0.2110 0.9174  1 Sn 3.16, 4 Tl 3.19-3.48, 4 Pb 3.42-3.44
Tl3 0.2869 0.2869 0.6955  4 Tl 3.30-3.47, 3 Pb 3.33-3.68, 1 Sn 3.42
Tl4 0.3419 0.3419 0.4565  4 Tl 3.34-3.47, 5 Pb 3.35-3.65
Tl5 0.6581 0.6581 0.5435  4 Tl 3.34-3.47, 5 Pb 3.35-3.65
Tl6 0.7131 0.7131 0.3045  4 Tl 3.30-3.47, 3 Pb 3.33-3.68, 1 Sn 3.42
Tl7 0.7890 0.7890 0.0826  1 Sn 3.16, 4 Tl 3.19-3.48, 4 Pb 3.42-3.44
Sn1 0.5000 0.5000 0.0000  4 Tl 2.97-3.16
Pb1 0.0278 0.0278 0.3794  3 Pb 3.37-3.45, 6 Tl 3.44-3.68
Pb2 0.4109 0.4109 0.2262  6 Tl 3.33-3.65, 2 Pb 3.45, 1 Sn 3.46
Pb3 0.5891 0.5891 0.7738  6 Tl 3.33-3.65, 2 Pb 3.45, 1 Sn 3.46
Pb4 0.9722 0.9722 0.6206  3 Pb 3.37-3.45, 6 Tl 3.44-3.68

Computed properties:
- Fermi-level density of states: 6.89 states/eV per cell
- Raw total energy: -2.8623 eV/atom
- Spin magnetization: 0.00 μB/f.u.
- Energy of formation: 1.05 eV per formula unit

=====

Record 2
Density functional theory data (PBE) for a relaxed structure of Bi3SbPd.

Cell lengths 7.3090, 7.3090, 7.3090 Å; angles 102.86, 122.10, 104.24 degrees
Last column: nearest neighbours and their distance in Å.
Fractional coordinates of all 10 atoms:
Bi1 0.2299 0.0528 0.2827  2 Pd 2.88-3.12
Bi2 0.2299 0.4472 0.6771  2 Pd 2.88-3.12
Bi3 0.2552 0.0173 0.7379  2 Pd 2.96-3.21, 2 Bi 3.31, 1 Sb 3.31
Bi4 0.2793 0.5173 0.2621  2 Pd 2.96-3.21, 2 Bi 3.31, 1 Sb 3.31
Bi5 0.7701 0.5528 0.3229  2 Pd 2.88-3.12
Bi6 0.7701 0.9472 0.7173  2 Pd 2.88-3.12
Sb1 0.5974 0.9116 0.1858  2 Pd 2.68-2.86
Sb2 0.7258 0.4116 0.8142  2 Pd 2.68-2.86
Pd1 0.0831 0.7064 0.8767  2 Sb 2.68-2.86, 3 Bi 2.88-2.96
Pd2 0.8298 0.2064 0.1233  2 Sb 2.68-2.86, 3 Bi 2.88-2.96

Computed properties:
- ΔE_f (raw): -0.027 eV per atom
- Fermi-level density of states: 5.80 states/eV per cell
- Raw total energy: -4.2191 eV/atom
- Spin magnetization: 0.00 μB/f.u.
- Polymorph energy (0 for the lowest one): 0 meV per atom

=====

Record 3
Density functional theory data (PBE) for a relaxed structure of AcPr4Ho2Er.

Cell lengths 5.1880, 5.2339, 10.3365 Å; angles 90.00, 90.00, 90.00 degrees
Last column: nearest neighbours and their distance in Å.
Fractional coordinates of all 8 atoms:
Ac1 0.0000 0.0000 0.0000  4 Ho 3.68, 8 Pr 3.73
Pr1 0.0000 0.5000 0.2577  2 Er 3.61, 4 Ho 3.62-3.72, 4 Pr 3.68, 2 Ac 3.73
Pr2 0.0000 0.5000 0.7423  2 Er 3.61, 4 Ho 3.62-3.72, 4 Pr 3.68, 2 Ac 3.73
Pr3 0.5000 0.0000 0.2587  4 Ho 3.60-3.74, 2 Er 3.62, 4 Pr 3.68, 2 Ac 3.73
Pr4 0.5000 0.0000 0.7413  4 Ho 3.60-3.74, 2 Er 3.62, 4 Pr 3.68, 2 Ac 3.73
Ho1 0.0000 0.0000 0.5000  8 Pr 3.60-3.62, 4 Er 3.68
Ho2 0.5000 0.5000 0.0000  4 Ac 3.68, 8 Pr 3.72-3.74
Er1 0.5000 0.5000 0.5000  8 Pr 3.61-3.62, 4 Ho 3.68

Computed properties:
- Fermi-level density of states: 11.49 states/eV per cell
- Raw total energy: -4.5901 eV/atom
- Spin magnetization: 0.00 μB/f.u.
- Energy of formation: 0.22 eV per formula unit

=====

Record 4
Density functional theory data (PBE) for a relaxed structure of Ac3Tb8Sm.

Cell lengths 8.9371, 8.9371, 8.9371 Å; angles 137.07, 99.26, 96.14 degrees
Last column: nearest neighbours and their distance in Å.
Fractional coordinates of all 12 atoms:
Ac1 0.0000 0.0000 0.0000  8 Tb 3.49-3.59
Ac2 0.2547 0.5000 0.7547  6 Tb 3.87-3.89
Ac3 0.7453 0.5000 0.2453  6 Tb 3.87-3.89
Tb1 0.0751 0.8236 0.2515  6 Tb 3.41-3.71, 1 Sm 3.57, 1 Ac 3.59
Tb2 0.2591 0.0120 0.7529  6 Tb 3.23-3.47, 1 Sm 3.32, 1 Ac 3.49
Tb3 0.2591 0.5062 0.2471  6 Tb 3.23-3.47, 1 Sm 3.32, 1 Ac 3.49
Tb4 0.4278 0.1764 0.2515  6 Tb 3.41-3.71, 1 Sm 3.57, 1 Ac 3.59
Tb5 0.5722 0.8236 0.7485  6 Tb 3.41-3.71, 1 Sm 3.57, 1 Ac 3.59
Tb6 0.7409 0.4938 0.7529  6 Tb 3.23-3.47, 1 Sm 3.32, 1 Ac 3.49
Tb7 0.7409 0.9880 0.2471  6 Tb 3.23-3.47, 1 Sm 3.32, 1 Ac 3.49
Tb8 0.9249 0.1764 0.7485  6 Tb 3.41-3.71, 1 Sm 3.57, 1 Ac 3.59
Sm1 0.5000 0.0000 0.5000  8 Tb 3.32-3.57

Computed properties:
- Fermi-level density of states: 16.26 states/eV per cell
- Raw total energy: -4.2624 eV/atom
- Spin magnetization: 0.00 μB/f.u.
- Energy of formation: 2.94 eV per formula unit

=====

Record 5
Density functional theory data (PBE) for a relaxed structure of BaSm2AuO5.

Cell lengths 6.7480, 6.7480, 6.2059 Å; angles 90.00, 90.00, 90.00 degrees
Last column: nearest neighbours and their distance in Å.
Fractional coordinates of all 18 atoms:
Ba1 0.0000 0.0000 0.0000  10 O 3.06-3.10, 4 Au 3.37
Ba2 0.5000 0.5000 0.0000  10 O 3.06-3.10, 4 Au 3.37
Sm1 0.1730 0.3270 0.5000  4 O 2.28-2.50
Sm2 0.3270 0.8270 0.5000  4 O 2.28-2.50
Sm3 0.6730 0.1730 0.5000  4 O 2.28-2.50
Sm4 0.8270 0.6730 0.5000  4 O 2.28-2.50
Au1 0.0000 0.5000 0.0000  4 O 2.14
Au2 0.5000 0.0000 0.0000  4 O 2.14
O1 0.0000 0.0000 0.5000  4 Sm 2.50
O2 0.1445 0.6445 0.2638  1 Au 2.14, 1 Sm 2.28
O3 0.1445 0.6445 0.7362  1 Au 2.14, 1 Sm 2.28
O4 0.3555 0.1445 0.2638  1 Au 2.14, 1 Sm 2.28
O5 0.3555 0.1445 0.7362  1 Au 2.14, 1 Sm 2.28
O6 0.5000 0.5000 0.5000  4 Sm 2.50
O7 0.6445 0.8555 0.2638  1 Au 2.14, 1 Sm 2.28
O8 0.6445 0.8555 0.7362  1 Au 2.14, 1 Sm 2.28
O9 0.8555 0.3555 0.2638  1 Au 2.14, 1 Sm 2.28
O10 0.8555 0.3555 0.7362  1 Au 2.14, 1 Sm 2.28

Computed properties:
- ΔE_f (raw): -2.416 eV per atom
- Fermi-level density of states: 0.44 states/eV per cell
- Raw total energy: -6.7972 eV/atom
- Spin magnetization: 1.02 μB/f.u.

=====

Record 6
Density functional theory data (PBE) for a relaxed structure of CsCaTaCo2.

Cell lengths 4.8079, 4.8079, 5.2313 Å; angles 90.00, 90.00, 90.00 degrees
Last column: nearest neighbours and their distance in Å.
Fractional coordinates of all 5 atoms:
Cs1 0.0000 0.0000 0.0000  4 Co 2.40, 2 Ta 2.62
Ca1 0.5000 0.5000 0.5000  4 Ta 3.40, 8 Co 3.55
Ta1 0.0000 0.0000 0.5000  2 Cs 2.62
Co1 0.0000 0.5000 0.0000  2 Cs 2.40
Co2 0.5000 0.0000 0.0000  2 Cs 2.40

Computed properties:
- Fermi-level density of states: 6.67 states/eV per cell
- Raw total energy: -3.4815 eV/atom
- Spin magnetization: 2.95 μB/f.u.
- Energy of formation: 11.51 eV per formula unit

=====

Record 7
Density functional theory data (PBE) for a relaxed structure of Ba6SN2Cl3.

Cell lengths 7.4206, 7.4206, 7.9995 Å; angles 98.96, 98.96, 120.01 degrees
Last column: nearest neighbours and their distance in Å.
Fractional coordinates of all 12 atoms:
Ba1 0.0687 0.4315 0.7947  2 N 2.83-2.84, 1 S 3.11
Ba2 0.2066 0.2066 0.2044  2 N 2.85, 1 S 3.10
Ba3 0.4315 0.0687 0.7947  2 N 2.83-2.84, 1 S 3.11
Ba4 0.5685 0.9313 0.2053  2 N 2.83-2.84, 1 S 3.11
Ba5 0.7934 0.7934 0.7956  2 N 2.85, 1 S 3.10
Ba6 0.9313 0.5685 0.2053  2 N 2.83-2.84, 1 S 3.11
S1 0.5000 0.5000 0.0000  6 Ba 3.10-3.11
N1 0.1677 0.8323 0.0000  6 Ba 2.83-2.85
N2 0.8323 0.1677 0.0000  6 Ba 2.83-2.85
Cl1 0.0000 0.0000 0.5000  6 Ba 3.19-3.42
Cl2 0.3402 0.6598 0.5000  6 Ba 3.23-3.43
Cl3 0.6598 0.3402 0.5000  6 Ba 3.23-3.43

Computed properties:
- ΔE_f (raw): -1.519 eV per atom
- Fermi-level density of states: 3.64 states/eV per cell
- Raw total energy: -4.6738 eV/atom
- Spin magnetization: 0.00 μB/f.u.

=====

Record 8
Density functional theory data (PBE) for a relaxed structure of NbGeCl2.

Cell lengths 6.5168, 6.5168, 10.0474 Å; angles 90.00, 90.00, 90.00 degrees
Last column: nearest neighbours and their distance in Å.
Fractional coordinates of all 16 atoms:
Nb1 0.0000 0.0000 0.0000  4 Cl 2.41
Nb2 0.0000 0.5000 0.2500  4 Cl 2.41
Nb3 0.5000 0.0000 0.7500  4 Cl 2.41
Nb4 0.5000 0.5000 0.5000  4 Cl 2.41
Ge1 0.0000 0.0000 0.5000  4 Cl 2.88
Ge2 0.0000 0.5000 0.7500  4 Cl 2.88
Ge3 0.5000 0.0000 0.2500  4 Cl 2.88
Ge4 0.5000 0.5000 0.0000  4 Cl 2.88
Cl1 0.1914 0.2500 0.1250  2 Nb 2.41
Cl2 0.2500 0.6914 0.3750  2 Nb 2.41
Cl3 0.2500 0.8086 0.8750  2 Nb 2.41
Cl4 0.3086 0.2500 0.6250  2 Nb 2.41
Cl5 0.6914 0.7500 0.6250  2 Nb 2.41
Cl6 0.7500 0.1914 0.8750  2 Nb 2.41
Cl7 0.7500 0.3086 0.3750  2 Nb 2.41
Cl8 0.8086 0.7500 0.1250  2 Nb 2.41

Computed properties:
- ΔE_f (raw): 0.450 eV per atom
- Fermi-level density of states: 9.68 states/eV per cell
- Raw total energy: -4.1451 eV/atom
- Spin magnetization: 0.97 μB/f.u.
- Polymorph energy (0 for the lowest one): 200 meV per atom